A plane-wave DFT calculation with GGA-PBE was carried out for Dy3Er7Sc2 after structural relaxation.

```
12
Lattice="3.190 1.842 10.810 -3.190 1.842 10.810 0.000 -3.683 10.810" Properties=species:S:1:pos:R:3 pbc="T T T"
Dy 0.000 0.000 0.000
Dy 0.000 0.000 4.954
Dy 0.000 0.000 27.477
Er -1.603 -0.926 13.485
Er 0.000 -1.851 18.946
Er -1.603 0.926 18.946
Er 0.000 0.000 16.216
Er 1.603 -0.926 13.485
Er 0.000 1.851 13.485
Er 1.603 0.926 18.946
Sc 0.000 0.000 10.805
Sc 0.000 0.000 21.626
```

Computed properties:
- ΔE_f: 305 meV/atom
- Magnetization: 0.000 μB per atom
- ΔE to the lowest computed polymorph: 17.7 kJ per mole of atoms
- Space group: R-3m (166)